# HgIr4Ru

A relaxed structure of HgIr4Ru (GGA-PBE, the Alexandria database).

Results
Its symmetry is No. 216. For the calculated formation energy, the calculation gives 0.6817 eV/atom. The density of states at the Fermi level is 10.3 states/eV per cell.

Unit cell a=5.210 b=5.210 c=5.210 alpha=60.00 beta=60.00 gamma=60.00
Last column: magnetic moment on the atom in μB.
Fractional positions:
Hg 0.000 0.000 0.000  0.00
Ir 0.875 0.375 0.375  0.30
Ir 0.375 0.375 0.875  0.30
Ir 0.375 0.875 0.375  0.30
Ir 0.375 0.375 0.375  0.30
Ru 0.750 0.750 0.750  1.92